(1)
Entry from the Alexandria database: AcLaAg6 after structural relaxation (GGA-PBE).

Summary:
Calculated formation energy, meV/atom: -184
ρ, g cm⁻³: 8.6
M_tot, μB per formula unit: 0.0
Uncorrected energy, eV/cell: -55.237

a = 4.912 Å, b = 6.879 Å, c = 11.574 Å
α = 90.00°, β = 90.00°, γ = 90.00°
Space group Amm2 (No. 38)
Inequivalent atoms, fractional coordinates:
Ac: 0.000 0.000 0.000 x2
La: 0.500 0.000 0.676 x2
Ag: 0.000 0.000 0.488 x2
Ag: 0.000 0.215 0.263 x4
Ag: 0.500 0.000 0.194 x2
Ag: 0.500 0.209 0.411 x4

***

(2)
Entry from the Alexandria database: Ac3La3Ag4 after structural relaxation (GGA-PBE).

Summary:
Calculated formation energy, meV/atom: -180
ρ, g cm⁻³: 7.9
M_tot, μB per formula unit: 0.0
Uncorrected energy, eV/cell: -80.627

a = 4.128 Å, b = 12.510 Å, c = 12.523 Å
α = 90.00°, β = 90.00°, γ = 90.00°
Space group Amm2 (No. 38)
Inequivalent atoms, fractional coordinates:
Ac: 0.000 0.000 0.000 x2
Ac: 0.000 0.170 0.668 x4
La: 0.000 0.000 0.337 x2
La: 0.500 0.244 0.416 x4
Ag: 0.500 0.000 0.540 x2
Ag: 0.500 0.000 0.792 x2
Ag: 0.500 0.121 0.172 x4

***

(3)
Entry from the Alexandria database: AcLa2Ag4 after structural relaxation (GGA-PBE).

Summary:
Calculated formation energy, meV/atom: -62
ρ, g cm⁻³: 7.0
M_tot, μB per formula unit: 0.0
Uncorrected energy, eV/cell: -77.397

a = 5.2176 Å, b = 5.2176 Å, c = 28.3689 Å
α = 90.00°, β = 90.00°, γ = 120.00°
Space group R-3m (No. 166, hexagonal axes)
Inequivalent atoms, fractional coordinates:
Ac: 0.0000 0.0000 0.0000 x3
La: 0.0000 0.0000 0.2189 x6
Ag: 0.0000 0.0000 0.1084 x6
Ag: 0.0000 0.0000 0.4013 x6

***

(4)
Entry from the Alexandria database: Ac2LaAg6 after structural relaxation (GGA-PBE).

Summary:
Calculated formation energy, meV/atom: -177
Energy above the most stable polymorph in this dataset, eV per atom: 0.1145
ρ, g cm⁻³: 8.4
M_tot, μB per formula unit: 0.0
Uncorrected energy, eV/cell: -63.694

a = 3.910 Å, b = 8.204 Å, c = 15.376 Å
α = 90.00°, β = 90.00°, γ = 90.00°
Space group Immm (No. 71)
Inequivalent atoms, fractional coordinates:
Ac: 0.000 0.000 0.143 x4
La: 0.000 0.500 0.000 x2
Ag: 0.000 0.174 0.332 x8
Ag: 0.000 0.318 0.500 x4

***

> What is the formula in the fourth record?

Ac2LaAg6